Ba3Mn2O4F2: optimized geometry, PBE+U.

* Fermi-level density of states: 1.1 states/eV/f.u.
* E: -6.526 eV/atom
* crystal system: tetragonal

Structure (CIF):
```
data_Ba3Mn2O4F2
_cell_length_a 4.1737
_cell_length_b 4.1737
_cell_length_c 21.8595
_cell_angle_alpha 90.00
_cell_angle_beta 90.00
_cell_angle_gamma 90.00
_symmetry_space_group_name_H-M 'I 4/m m m'
_symmetry_Int_Tables_number 139
_symmetry_space_group_name_Hall '-I 4 2'
loop_
_atom_site_label
_atom_site_fract_x
_atom_site_fract_y
_atom_site_fract_z
Ba1 0.0000 0.0000 0.0000
Ba2 0.0000 0.0000 0.1706
Mn1 0.0000 0.0000 0.4102
O1 0.0000 0.5000 0.0908
F1 0.0000 0.0000 0.2972
```